Entry 1:
DFT (PBE) results for an optimized crystal structure of Tb3Dy5Sc3.

It has space group P-62m (No. 189), with a = 10.8081 Å, b = 10.8081 Å, c = 3.3807 Å, α = 90.00°, β = 90.00° and γ = 120.00°. Symmetry generates all atoms from Tb at (0.0000, 0.6541, 0.0000), Dy at (0.0000, 0.1654, 0.0000), Dy at (0.3333, 0.6667, 0.0000) and Sc at (0.0000, 0.4082, 0.5000).

As for the formation energy: 359 meV/atom.

Entry 2:
DFT (PBE) results for an optimized crystal structure of VFe12Co6.

It has space group R-3 (No. 148, hexagonal axes), with a = 8.5790 Å, b = 8.5790 Å, c = 10.7125 Å, α = 90.00°, β = 90.00° and γ = 120.00°. Symmetry generates all atoms from V at (0.0000, 0.0000, 0.0000), Fe at (0.0510, 0.1886, 0.8057), Fe at (0.0679, 0.8287, 0.4195) and Co at (0.0280, 0.4429, 0.7059).

As for the formation energy: 102 meV/atom.

Entry 3:
DFT (PBE) results for an optimized crystal structure of Tm2HS.

It has space group R3m (No. 160, hexagonal axes), with a = 3.6260 Å, b = 3.6260 Å, c = 20.8714 Å, α = 90.00°, β = 90.00° and γ = 120.00°. Symmetry generates all atoms from Tm at (0.0000, 0.0000, 0.0000), Tm at (0.0000, 0.0000, 0.1694), H at (0.0000, 0.0000, 0.3573) and S at (0.0000, 0.0000, 0.5854).

Entry 4:
DFT (PBE) results for an optimized crystal structure of NaRe2H.

It has space group Fd-3m (No. 227, origin choice 2), with a = 7.8790 Å, b = 7.8790 Å, c = 7.8790 Å, α = 90.00°, β = 90.00° and γ = 90.00°. Symmetry generates all atoms from Na at (0.1250, 0.1250, 0.1250), Re at (0.0000, 0.0000, 0.5000) and H at (0.1250, 0.1250, 0.6250).

For the distance to the lowest polymorph of the same formula, the calculation gives 0.00 eV/f.u.

VASP energy in eV per atom, matching the order above: -4.723 -7.967 -5.080 -6.393
Total magnetic moment in μB/atom, matching the order above: 0.00 1.99 0.00 0.00
V in Å³/f.u., matching the order above: 342.0 227.6 79.2 61.1